Here is a relaxed MnIn2Ir crystal from Alexandria. Energies are from PBE.

It has space group Pmm2 (No. 25), with a = 3.0566 Å, b = 3.5123 Å, c = 7.0920 Å, α = 90.00°, β = 90.00° and γ = 90.00°. The asymmetric unit holds Mn at (0.0000, 0.0000, 0.0000), In at (0.0000, 0.0000, 0.5842), In at (0.5000, 0.5000, 0.2408) and Ir at (0.5000, 0.5000, 0.8171).

Its formation energy is 0.0843 eV per atom.

Here is a relaxed Ca2NpCrN4 crystal from Alexandria. Energies are from PBE.

It has space group Cmcm (No. 63), with a = 3.3358 Å, b = 11.2358 Å, c = 11.8534 Å, α = 90.00°, β = 90.00° and γ = 90.00°. The asymmetric unit holds Ca at (0.0000, 0.1307, 0.0404), Np at (0.0000, 0.4024, 0.2500), Cr at (0.0000, 0.3315, 0.7500), N at (0.0000, 0.0762, 0.2500), N at (0.0000, 0.2205, 0.6433) and N at (0.0000, 0.5000, 0.0000).

The value obtained for the formation energy from raw total energies is -0.7274 eV/atom.

Here is a relaxed Zr2FeAs crystal from Alexandria. Energies are from PBE.

It has space group Cmmm (No. 65), with a = 6.0829 Å, b = 6.6582 Å, c = 3.5262 Å, α = 90.00°, β = 90.00° and γ = 90.00°. The asymmetric unit holds Zr at (0.2500, 0.2500, 0.0000), Fe at (0.0000, 0.0000, 0.5000) and As at (0.0000, 0.5000, 0.5000).

Its formation energy is -0.4401 eV per atom.

Here is a relaxed Tm3Te2Pt crystal from Alexandria. Energies are from PBE.

It has space group Fddd (No. 70, origin choice 2), with a = 8.6797 Å, b = 12.0662 Å, c = 25.1216 Å, α = 90.00°, β = 90.00° and γ = 90.00°. The asymmetric unit holds Tm at (0.0900, 0.3750, 0.3750), Tm at (0.1069, 0.3580, 0.2154), Te at (0.1250, 0.1250, 0.3806), Te at (0.1250, 0.1250, 0.5461) and Pt at (0.1250, 0.1250, 0.0417).

The energy above the most stable polymorph in this dataset comes out at 0.0 kJ per mole of atoms. The value obtained for the formation energy from raw total energies is -1.2662 eV/atom.

Here is a relaxed Sm2Fe17C3 crystal from Alexandria. Energies are from PBE.

It has space group R-3m (No. 166, hexagonal axes), with a = 8.7042 Å, b = 8.7042 Å, c = 12.4925 Å, α = 90.00°, β = 90.00° and γ = 120.00°. The asymmetric unit holds Sm at (0.0000, 0.0000, 0.1550), Fe at (0.0000, 0.0000, 0.4050), Fe at (0.0000, 0.2841, 0.5000), Fe at (0.0000, 0.5000, 0.0000), Fe at (0.0106, 0.5053, 0.3471) and C at (0.0000, 0.5000, 0.5000).

Its formation energy is -0.0522 eV per atom.

Here is a relaxed GeSb2CI crystal from Alexandria. Energies are from PBE.

It has space group P4/mmm (No. 123), with a = 4.7990 Å, b = 4.7990 Å, c = 5.0258 Å, α = 90.00°, β = 90.00° and γ = 90.00°. The asymmetric unit holds Ge at (0.0000, 0.0000, 0.0000), Sb at (0.0000, 0.5000, 0.5000), C at (0.5000, 0.5000, 0.5000) and I at (0.5000, 0.5000, 0.0000).

The energy above the most stable polymorph in this dataset comes out at 0.0 kJ per mole of atoms. The value obtained for the formation energy from raw total energies is 1.1209 eV/atom.